The following is a DFT calculation (PBE) of a relaxed PrHoTm2Au4 crystal.

Properties
The formation enthalpy at 0 K is -0.84 eV/atom. Its final energy is -4.77 eV/atom. As for the crystal system: trigonal. The calculation puts the total moment at 0.00 Bohr magnetons per cell. The volume comes out at 23.63 Å³ per atom.

Lattice parameters (Å, degrees): 8.9948 8.9948 8.9948 32.71 32.71 32.71
Closest atoms and distances in Å follow each position.
Fractional positions:
1 Pr 0.0000 0.0000 0.0000  8 Au 3.19-3.27
2 Ho 0.5000 0.5000 0.5000  8 Au 2.99-3.08
3 Tm 0.2481 0.2481 0.2481  7 Au 3.06-3.12
4 Tm 0.7519 0.7519 0.7519  7 Au 3.06-3.12
5 Au 0.1283 0.1283 0.1283  4 Tm 3.06-3.12, 3 Ho 3.08, 1 Pr 3.27
6 Au 0.3828 0.3828 0.3828  1 Ho 2.99, 3 Tm 3.06, 3 Pr 3.19
7 Au 0.6172 0.6172 0.6172  1 Ho 2.99, 3 Tm 3.06, 3 Pr 3.19
8 Au 0.8717 0.8717 0.8717  4 Tm 3.06-3.12, 3 Ho 3.08, 1 Pr 3.27